Here is an optimized crystal structure of HfTaTiW from the Alexandria database. Energies are from PBE. Values from VASP.

## Properties
- space group = F-43m, No. 216

Cell and atoms, written as Quantum ESPRESSO input:
```
&SYSTEM
  ibrav = 0, nat = 4, ntyp = 4
/
ATOMIC_SPECIES
Ti 47.87 Ti.upf
Hf 178.49 Hf.upf
W 183.84 W.upf
Ta 180.95 Ta.upf
ATOMIC_POSITIONS angstrom
Ti 7.0145 4.0498 2.8637
Hf 0.0000 0.0000 0.0000
W 2.3382 1.3499 0.9546
Ta 4.6764 2.6999 1.9091
CELL_PARAMETERS angstrom
4.6764 0.0000 0.0000
2.3382 4.0498 0.0000
2.3382 1.3499 3.8182
```

***

Here is an optimized crystal structure of PmPrAs2Rh5 from the Alexandria database. Energies are from PBE. Values from VASP.

## Properties
- space group = P4/mmm, No. 123

Cell and atoms, written as Quantum ESPRESSO input:
```
&SYSTEM
  ibrav = 0, nat = 9, ntyp = 4
/
ATOMIC_SPECIES
Pm 145.00 Pm.upf
Pr 140.91 Pr.upf
As 74.92 As.upf
Rh 102.91 Rh.upf
ATOMIC_POSITIONS angstrom
Pm 0.0000 0.0000 0.0000
Pr 0.0000 0.0000 4.4753
As 2.1460 2.1460 1.3370
As 2.1460 2.1460 7.6135
Rh 0.0000 2.1460 2.3689
Rh 2.1460 0.0000 2.3689
Rh 0.0000 2.1460 6.5816
Rh 2.1460 0.0000 6.5816
Rh 2.1460 2.1460 4.4753
CELL_PARAMETERS angstrom
4.2921 0.0000 0.0000
0.0000 4.2921 0.0000
0.0000 0.0000 8.9505
```

***

no.,energy relative to the elements (meV per atom)
1,46
2,-735